Model i:
Density functional theory data (PBE+U) for a relaxed structure of CrBF3.

```
CrBF3
1.0
3.785 0.000 0.000
0.000 3.785 0.000
0.000 0.000 3.785
F B Cr
3 1 1
Direct
0.000 0.500 0.000
0.000 0.000 0.500
0.500 0.000 0.000
0.000 0.000 0.000
0.500 0.500 0.500
```

Properties
Size of the total moment: 4.9 μB per cell
Space-group type: No. 221
Volume: 10.849 A^3/atom

Model ii:
Density functional theory data (PBE+U) for a relaxed structure of CrBF3.

```
CrBF3
1.0
4.058 0.000 0.000
0.000 4.058 0.000
0.000 0.000 4.058
F Cr B
3 1 1
Direct
0.000 0.500 0.000
0.000 0.000 0.500
0.500 0.000 0.000
0.000 0.000 0.000
0.500 0.500 0.500
```

Properties
Size of the total moment: 4.0 μB per cell
Space-group type: No. 221
Volume: 13.366 A^3/atom

model ii has the most favorable energy; the next structure is 14.0 kJ/mol of atoms above.

Model i:
Density functional theory data (PBE+U) for a relaxed structure of CrBF2.

```
CrBF2
1.0
1.861 0.000 6.664
-0.931 1.612 6.664
-0.931 -1.612 6.664
B F Cr
1 2 1
Direct
0.500 0.500 0.500
0.902 0.902 0.902
0.098 0.098 0.098
0.000 0.000 0.000
```

Properties
Size of the total moment: 4.2 μB per cell
Space-group type: No. 166
Volume: 14.998 A^3/atom

Model ii:
Density functional theory data (PBE+U) for a relaxed structure of CrBF2.

```
CrBF2
1.0
7.551 -5.211 3.206
8.780 -2.556 3.291
7.172 -3.497 5.548
Cr F B
1 2 1
Direct
0.500 0.500 0.500
0.953 0.953 0.953
0.047 0.047 0.047
0.000 0.000 0.000
```

Properties
Size of the total moment: 5.7 μB per cell
Space-group type: No. 166
Volume: 17.751 A^3/atom

Model iii:
Density functional theory data (PBE+U) for a relaxed structure of CrBF2.

```
CrBF2
1.0
2.195 -2.094 2.393
-1.222 -3.459 1.213
1.724 -3.214 -1.275
F Cr B
2 1 1
Direct
0.250 0.250 0.250
0.750 0.750 0.750
0.500 0.500 0.500
0.000 0.000 0.000
```

Properties
Size of the total moment: 1.3 μB per cell
Space-group type: No. 225
Volume: 10.198 A^3/atom

model ii has the most favorable energy; the next structure is 34.4 kJ/mol of atoms above.

Model i:
Density functional theory data (PBE+U) for a relaxed structure of CrB2F.

```
CrB2F
1.0
-3.481 1.362 6.240
-6.095 -2.830 -2.783
-4.331 -2.308 2.327
Cr B F
2 4 2
Direct
0.750 0.250 0.500
0.000 0.000 0.000
0.105 0.625 0.250
0.875 0.895 0.750
0.375 0.355 0.750
0.645 0.125 0.250
0.250 0.750 0.500
0.500 0.500 0.000
```

Properties
Size of the total moment: 1.7 μB per cell
Space-group type: No. 122
Volume: 11.537 A^3/atom

Model ii:
Density functional theory data (PBE+U) for a relaxed structure of CrB2F.

```
CrB2F
1.0
1.159 2.184 2.883
-2.440 0.977 2.742
0.361 -1.481 3.479
Cr B F
1 2 1
Direct
0.500 0.500 0.500
0.750 0.750 0.750
0.250 0.250 0.250
0.000 0.000 0.000
```

Properties
Size of the total moment: 0.8 μB per cell
Space-group type: No. 225
Volume: 9.686 A^3/atom

model i has the most favorable energy; the next structure is 87.8 kJ/mol of atoms above.